Compound: Ga2SnAs2
Source: Alexandria via LeMat-Bulk
Functional: PBE
Structure: optimized geometry

## Properties
Raw total energy (Ry per atom): -0.2795
ΔE to the lowest computed polymorph (eV per formula unit): 0.00
E_form (meV/atom): 68

abc: 4.967 4.967 5.662
angles: 63.98 63.98 90.00
Sites, in units of the cell vectors:
Ga  0.640  0.640  0.721
Ga  0.360  0.360  0.279
As  0.750  0.250  0.500
As  0.250  0.750  0.500
Sn  0.000  0.000  0.000

=====

Compound: GaSn2As
Source: Alexandria via LeMat-Bulk
Functional: PBE
Structure: optimized geometry

## Properties
Raw total energy (Ry per atom): -0.2776
ΔE to the lowest computed polymorph (eV per formula unit): 0.77
E_form (meV/atom): 144

abc: 5.120 5.120 5.120
angles: 60.00 60.00 60.00
Sites, in units of the cell vectors:
As  0.500  0.500  0.500
Sn  0.750  0.750  0.750
Sn  0.250  0.250  0.250
Ga  0.000  0.000  0.000

=====

Compound: GaSn2As
Source: Alexandria via LeMat-Bulk
Functional: PBE
Structure: optimized geometry

## Properties
Raw total energy (Ry per atom): -0.2578
ΔE to the lowest computed polymorph (eV per formula unit): 1.85
E_form (meV/atom): 413

abc: 4.060 4.060 8.668
angles: 76.46 76.46 60.00
Sites, in units of the cell vectors:
As  0.000  0.000  0.000
Sn  0.106  0.106  0.683
Sn  0.894  0.894  0.317
Ga  0.500  0.500  0.500

=====

Compound: GaSn2As
Source: Alexandria via LeMat-Bulk
Functional: PBE
Structure: optimized geometry

## Properties
Raw total energy (Ry per atom): -0.2918
ΔE to the lowest computed polymorph (eV per formula unit): 0.00
E_form (meV/atom): -49

abc: 6.227 6.227 7.645
angles: 65.97 65.97 90.00
Sites, in units of the cell vectors:
Sn  0.617  0.125  0.250
Sn  0.375  0.383  0.750
Sn  0.875  0.867  0.750
Sn  0.133  0.625  0.250
Ga  0.500  0.500  0.000
Ga  0.250  0.750  0.500
As  0.000  0.000  0.000
As  0.750  0.250  0.500

=====

Compound: GaSnAs2
Source: Alexandria via LeMat-Bulk
Functional: PBE
Structure: optimized geometry

## Properties
Raw total energy (Ry per atom): -0.2848
ΔE to the lowest computed polymorph (eV per formula unit): 1.23
E_form (meV/atom): 207

abc: 4.949 4.949 4.949
angles: 60.00 60.00 60.00
Sites, in units of the cell vectors:
As  0.750  0.750  0.750
As  0.250  0.250  0.250
Sn  0.500  0.500  0.500
Ga  0.000  0.000  0.000

=====

Compound: GaSn3As
Source: Alexandria via LeMat-Bulk
Functional: PBE
Structure: optimized geometry

## Properties
Raw total energy (Ry per atom): -0.2521
ΔE to the lowest computed polymorph (eV per formula unit): 0.00
E_form (meV/atom): 508

abc: 5.270 5.270 5.270
angles: 90.00 90.00 90.00
Sites, in units of the cell vectors:
Sn  0.000  0.000  0.500
Sn  0.500  0.000  0.000
Sn  0.000  0.500  0.000
As  0.500  0.500  0.500
Ga  0.000  0.000  0.000

=====

Compound: GaSnAs2
Source: Alexandria via LeMat-Bulk
Functional: PBE
Structure: optimized geometry

## Properties
Raw total energy (Ry per atom): -0.3055
ΔE to the lowest computed polymorph (eV per formula unit): 0.11
E_form (meV/atom): -74

abc: 4.133 4.133 7.521
angles: 90.00 90.00 120.00
Sites, in units of the cell vectors:
Sn  0.667  0.333  0.510
Ga  0.000  0.000  0.002
As  0.000  0.000  0.340
As  0.667  0.333  0.897

=====

Compound: GaSn2As2
Source: Alexandria via LeMat-Bulk
Functional: PBE
Structure: optimized geometry

## Properties
Raw total energy (Ry per atom): -0.2873
ΔE to the lowest computed polymorph (eV per formula unit): 0.31
E_form (meV/atom): 158

abc: 7.964 7.964 3.763
angles: 90.00 90.00 90.00
Sites, in units of the cell vectors:
Sn  0.853  0.647  0.000
Sn  0.353  0.853  0.000
Sn  0.647  0.147  0.000
Sn  0.147  0.353  0.000
Ga  0.000  0.000  0.000
Ga  0.500  0.500  0.000
As  0.153  0.653  0.500
As  0.847  0.347  0.500
As  0.653  0.847  0.500
As  0.347  0.153  0.500

=====

Compound: Ga12Sn5As3
Source: Alexandria via LeMat-Bulk
Functional: PBE
Structure: optimized geometry

## Properties
Raw total energy (Ry per atom): -0.2478
E_form (meV/atom): 143

abc: 13.887 13.887 13.887
angles: 109.47 109.47 109.47
Sites, in units of the cell vectors:
Sn  0.000  0.500  0.000
Sn  0.000  0.000  0.500
Sn  0.000  0.500  0.500
Sn  0.250  0.375  0.625
Sn  0.500  0.000  0.000
Sn  0.750  0.125  0.875
Sn  0.375  0.250  0.125
Sn  0.375  0.125  0.750
Sn  0.250  0.875  0.125
Sn  0.125  0.375  0.250
Sn  0.875  0.625  0.750
Sn  0.500  0.500  0.000
Sn  0.500  0.000  0.500
Sn  0.625  0.750  0.875
Sn  0.125  0.750  0.375
Sn  0.000  0.000  0.000
Sn  0.500  0.500  0.500
Sn  0.625  0.875  0.250
Sn  0.750  0.625  0.375
Sn  0.875  0.250  0.625
Ga  0.928  0.352  0.263
Ga  0.912  0.076  0.648
Ga  0.076  0.164  0.428
Ga  0.088  0.164  0.237
Ga  0.428  0.664  0.076
Ga  0.737  0.148  0.072
Ga  0.164  0.088  0.737
Ga  0.412  0.263  0.336
Ga  0.836  0.924  0.072
Ga  0.336  0.763  0.412
Ga  0.588  0.737  0.664
Ga  0.424  0.352  0.588
Ga  0.352  0.424  0.088
Ga  0.576  0.928  0.664
Ga  0.588  0.852  0.424
Ga  0.836  0.912  0.263
Ga  0.924  0.836  0.572
Ga  0.263  0.412  0.836
Ga  0.352  0.928  0.763
Ga  0.852  0.588  0.924
Ga  0.072  0.648  0.737
Ga  0.336  0.572  0.424
Ga  0.664  0.428  0.576
Ga  0.572  0.336  0.924
Ga  0.763  0.428  0.352
Ga  0.237  0.572  0.648
Ga  0.148  0.737  0.572
Ga  0.164  0.076  0.928
Ga  0.072  0.424  0.836
Ga  0.428  0.763  0.852
Ga  0.928  0.576  0.164
Ga  0.148  0.412  0.076
Ga  0.572  0.237  0.148
Ga  0.852  0.263  0.428
Ga  0.648  0.072  0.237
Ga  0.737  0.588  0.164
Ga  0.664  0.237  0.588
Ga  0.912  0.836  0.763
Ga  0.088  0.924  0.352
Ga  0.763  0.336  0.912
Ga  0.576  0.648  0.412
Ga  0.237  0.664  0.088
Ga  0.424  0.072  0.336
Ga  0.924  0.088  0.852
Ga  0.412  0.148  0.576
Ga  0.263  0.852  0.928
Ga  0.648  0.576  0.912
Ga  0.076  0.912  0.148
As  0.125  0.875  0.750
As  0.750  0.875  0.625
As  0.625  0.375  0.750
As  0.375  0.625  0.250
As  0.875  0.750  0.125
As  0.250  0.125  0.375
As  0.250  0.625  0.875
As  0.125  0.250  0.875
As  0.750  0.375  0.125
As  0.375  0.750  0.625
As  0.625  0.250  0.375
As  0.875  0.125  0.250

=====

Compound: Ga2SnAs2
Source: Alexandria via LeMat-Bulk
Functional: PBE
Structure: optimized geometry

## Properties
Raw total energy (Ry per atom): -0.2792
ΔE to the lowest computed polymorph (eV per formula unit): 0.02
E_form (meV/atom): 72

abc: 4.092 4.092 7.269
angles: 73.65 73.65 90.00
Sites, in units of the cell vectors:
Ga  0.250  0.750  0.500
Ga  0.750  0.250  0.500
As  0.617  0.617  0.767
As  0.383  0.383  0.233
Sn  0.000  0.000  0.000

=====

Compound: Ga2SnAs
Source: Alexandria via LeMat-Bulk
Functional: PBE
Structure: optimized geometry

## Properties
Raw total energy (Ry per atom): -0.2751
ΔE to the lowest computed polymorph (eV per formula unit): 0.00
E_form (meV/atom): -66

abc: 6.089 6.089 7.236
angles: 65.12 65.12 90.00
Sites, in units of the cell vectors:
Sn  0.750  0.250  0.500
Sn  0.000  0.000  0.000
As  0.250  0.750  0.500
As  0.500  0.500  0.000
Ga  0.375  0.402  0.750
Ga  0.152  0.625  0.250
Ga  0.598  0.125  0.250
Ga  0.875  0.848  0.750

=====

Compound: SrGaAs2
Source: Alexandria via LeMat-Bulk
Functional: PBE
Structure: optimized geometry

## Properties
Raw total energy (Ry per atom): -0.2495
E_form (meV/atom): 108

abc: 3.744 3.744 9.460
angles: 78.59 78.59 60.00
Sites, in units of the cell vectors:
As  0.889  0.889  0.333
As  0.111  0.111  0.667
Ga  0.500  0.500  0.500
Sr  0.000  0.000  0.000

=====

Look up the E_form of the seventh one.
-74 meV/atom